1.
Here is an optimized crystal structure of SmTmSc2 from the Alexandria database. Energies are from PBE.

Lattice parameters (Å, degrees): 8.5787 8.0528 6.6388 90.00 89.99 90.00
Atoms (fractional coordinates):
Sm 0.6813 0.0346 0.6272
Sm 0.1813 0.4654 0.6272
Sm 0.3187 0.9654 0.3728
Sm 0.8187 0.5346 0.3728
Tm 0.1804 0.4792 0.1247
Tm 0.3196 0.9792 0.8753
Tm 0.6804 0.0208 0.1247
Tm 0.8196 0.5208 0.8753
Sc 0.5074 0.6670 0.1187
Sc 0.0074 0.8330 0.1187
Sc 0.9903 0.1673 0.3702
Sc 0.9926 0.1670 0.8813
Sc 0.0097 0.8327 0.6298
Sc 0.5097 0.6673 0.6298
Sc 0.4926 0.3330 0.8813
Sc 0.4903 0.3327 0.3702

ρ in g cm⁻³: 5.93
Energy in eV/cell: -84.576
Offset from the most stable computed form in meV per atom: 124
Total moment in μB/f.u.: 0.00
Formation energy from the elements in kcal/mol of atoms: 4.09

=====

2.
Here is an optimized crystal structure of AcScAgPd from the Alexandria database. Energies are from PBE.

Lattice parameters (Å, degrees): 5.1824 5.1824 5.1824 60.00 60.00 60.00
Atoms (fractional coordinates):
Sc 0.2500 0.2500 0.2500
Ac 0.7500 0.7500 0.7500
Pd 0.0000 0.0000 0.0000
Ag 0.5000 0.5000 0.5000

ρ in g cm⁻³: 8.20
Energy in eV/cell: -20.013
Total moment in μB/f.u.: 0.00
Formation energy from the elements in kcal/mol of atoms: -8.81

=====

3.
Here is an optimized crystal structure of SmEr3Mn8 from the Alexandria database. Energies are from PBE.

Lattice parameters (Å, degrees): 5.0107 5.0107 8.7169 90.00 90.00 120.00
Atoms (fractional coordinates):
Sm 0.6667 0.3333 0.5662
Er 0.3333 0.6667 0.4321
Er 0.3333 0.6667 0.0658
Er 0.6667 0.3333 0.9353
Mn 0.0000 0.0000 0.4981
Mn 0.0000 0.0000 0.0009
Mn 0.1690 0.3380 0.7536
Mn 0.1690 0.8310 0.7536
Mn 0.6620 0.8310 0.7536
Mn 0.8313 0.6625 0.2470
Mn 0.8313 0.1687 0.2470
Mn 0.3375 0.1687 0.2470

ρ in g cm⁻³: 9.56
Energy in eV/cell: -90.377
Total moment in μB/f.u.: 4.12
Formation energy from the elements in kcal/mol of atoms: 2.67